First-principles (PBE-GGA) data for crystalline Ce3TcC3 at its relaxed geometry, as listed in the Alexandria database.

Computed properties:
The total magnetic moment is 0.91 μB/f.u. For the density of states at the Fermi level, the calculation gives 11.1 states/eV/cell. The formation energy comes out at 0.504 eV/f.u. The volume is 17.32 Å³ per atom. As for the crystal system: trigonal.

a = 6.456 Å, b = 6.456 Å, c = 6.456 Å
α = 116.86°, β = 116.86°, γ = 116.86°
Fractional coordinates of all 7 atoms:
Ce 0.182 0.182 0.635
Ce 0.182 0.635 0.182
Ce 0.635 0.182 0.182
Tc 0.754 0.754 0.754
C 0.311 0.584 0.584
C 0.584 0.311 0.584
C 0.584 0.584 0.311